No. 1
YTcPtS2, optimized geometry, DFT PBE; uncorrected formation energy = -1.489 eV per formula unit; symmetry = P4/mmm, No. 123; total moment = 0.00 Bohr magnetons per cell
1.0
-3.720 -0.147 -2.657
0.966 -4.770 -1.088
-2.509 -1.326 3.587
Y Tc S Pt
1 1 2 1
Direct
0.500 0.500 0.500
0.000 0.000 0.000
0.000 0.000 0.500
0.500 0.000 0.000
0.000 0.500 0.000

=====

No. 2
HfMnMo, optimized geometry, DFT PBE; symmetry = Cmcm, No. 63; total moment = 0.00 Bohr magnetons per cell; energy relative to the lowest polymorph listed for this composition = 172 meV per atom
1.0
-2.208 -0.996 3.637
-2.197 -3.191 -2.208
4.539 -2.703 -0.610
Mo Hf Mn
2 2 2
Direct
0.411 0.750 0.821
0.589 0.250 0.179
0.099 0.750 0.198
0.901 0.250 0.802
0.755 0.750 0.509
0.245 0.250 0.491

=====

No. 3
NdY5In6, optimized geometry, DFT PBE; symmetry = Immm, No. 71; total moment = 0.00 Bohr magnetons per cell; final energy = -4.9584 eV per atom
1.0
5.154 -0.004 -1.444
-3.863 7.482 -3.892
-0.199 -1.099 9.209
In Y Nd
6 5 1
Direct
0.241 0.741 0.741
0.254 0.085 0.423
0.746 0.577 0.915
0.746 0.915 0.577
0.759 0.259 0.259
0.254 0.423 0.085
0.500 0.836 0.164
0.500 0.164 0.836
0.500 0.500 0.500
0.000 0.668 0.332
0.000 0.332 0.668
0.000 0.000 0.000

=====

No. 4
ZnInGe2, optimized geometry, DFT PBE; symmetry = Fm-3m, No. 225; total moment = 0.00 Bohr magnetons per cell; final energy = -3.0383 eV per atom
1.0
0.000 3.450 3.450
3.450 0.000 3.450
3.450 3.450 0.000
Ge Zn In
2 1 1
Direct
0.750 0.750 0.750
0.250 0.250 0.250
0.000 0.000 0.000
0.500 0.500 0.500

=====

No. 5
Nb2SiAs, optimized geometry, DFT PBE; uncorrected formation energy = 2.188 eV per formula unit; symmetry = I-42d, No. 122; total moment = 0.00 Bohr magnetons per cell; energy relative to the lowest polymorph listed for this composition = 852 meV per atom
1.0
5.785 0.000 0.000
0.000 5.785 0.000
2.893 2.893 5.784
As Nb Si
2 4 2
Direct
0.750 0.250 0.500
0.000 0.000 0.000
0.875 0.867 0.750
0.375 0.383 0.750
0.133 0.625 0.250
0.617 0.125 0.250
0.500 0.500 0.000
0.250 0.750 0.500

=====

No. 6
K2CaSc, optimized geometry, DFT PBE; symmetry = P4/mmm, No. 123; total moment = 0.98 Bohr magnetons per cell; energy relative to the lowest polymorph listed for this composition = 186 meV per atom
1.0
-1.073 -3.471 0.598
2.031 -0.099 3.070
-10.361 4.409 6.998
Ca Sc K
1 1 2
Direct
0.500 0.500 0.750
0.500 0.500 0.250
0.000 0.000 0.016
0.000 0.000 0.484

=====

No. 7
Hf2GaTe, optimized geometry, DFT PBE; uncorrected formation energy = -0.761 eV per formula unit; symmetry = Fm-3m, No. 225; total moment = 0.00 Bohr magnetons per cell; energy relative to the lowest polymorph listed for this composition = 0 meV per atom
1.0
0.163 -3.975 -2.853
0.138 -4.458 2.018
-3.894 -2.950 -0.313
Hf Ga Te
2 1 1
Direct
0.250 0.250 0.250
0.750 0.750 0.750
0.000 0.000 0.000
0.500 0.500 0.500

=====

No. 8
Cs2NaI3, optimized geometry, DFT PBE; uncorrected formation energy = -8.439 eV per formula unit; symmetry = Cmc2_1, No. 36; total moment = 0.00 Bohr magnetons per cell; energy relative to the lowest polymorph listed for this composition = 33 meV per atom
1.0
7.748 0.000 0.000
0.000 10.541 0.127
0.000 -5.053 9.252
I Cs Na
6 4 2
Direct
0.995 0.826 0.536
0.495 0.174 0.464
0.939 0.107 0.107
0.995 0.536 0.826
0.439 0.893 0.893
0.495 0.464 0.174
0.496 0.510 0.833
0.996 0.490 0.167
0.496 0.833 0.510
0.996 0.167 0.490
0.537 0.168 0.168
0.037 0.832 0.832